No. 1
Density functional theory data (PBE) for a relaxed structure of RbUPtO6.

The structure in CIF format:
```
data_RbUPtO6
_space_group_name_H-M_alt 'P 1'
_space_group_IT_number 1
_cell_length_a 7.914
_cell_length_b 7.261
_cell_length_c 7.593
_cell_angle_alpha 118.56
_cell_angle_beta 121.41
_cell_angle_gamma 90.00
loop_
_space_group_symop_operation_xyz
'x,y,z'
loop_
_atom_site_label
_atom_site_type_symbol
_atom_site_fract_x
_atom_site_fract_y
_atom_site_fract_z
Rb1 Rb 0.865 0.615 0.730
Rb2 Rb 0.135 0.385 0.270
U1 U 0.500 0.000 0.500
U2 U 0.000 0.000 0.500
Pt1 Pt 0.500 0.500 0.000
Pt2 Pt 0.500 0.000 0.000
O1 O 0.431 0.681 0.862
O2 O 0.825 0.075 0.650
O3 O 0.806 0.074 0.250
O4 O 0.444 0.676 0.250
O5 O 0.444 0.074 0.250
O6 O 0.806 0.676 0.250
O7 O 0.569 0.319 0.138
O8 O 0.175 0.925 0.350
O9 O 0.194 0.926 0.750
O10 O 0.556 0.324 0.750
O11 O 0.556 0.926 0.750
O12 O 0.194 0.324 0.750
```

Results
As for the formation energy without anion corrections: -1.857 eV/atom. The calculation puts the density at 6.62 Mg/m³. As for the crystal system: orthorhombic.

---

No. 2
Density functional theory data (PBE) for a relaxed structure of Pm6Er2Sc.

The structure in CIF format:
```
data_Pm6Er2Sc
_space_group_name_H-M_alt 'P 1'
_space_group_IT_number 1
_cell_length_a 3.594
_cell_length_b 3.594
_cell_length_c 26.529
_cell_angle_alpha 90.00
_cell_angle_beta 90.00
_cell_angle_gamma 120.00
loop_
_space_group_symop_operation_xyz
'x,y,z'
loop_
_atom_site_label
_atom_site_type_symbol
_atom_site_fract_x
_atom_site_fract_y
_atom_site_fract_z
Pm1 Pm 0.333 0.667 0.898
Pm2 Pm 0.000 0.000 0.432
Pm3 Pm 0.000 0.000 0.783
Pm4 Pm 0.000 0.000 0.217
Pm5 Pm 0.000 0.000 0.568
Pm6 Pm 0.333 0.667 0.102
Er1 Er 0.333 0.667 0.326
Er2 Er 0.333 0.667 0.674
Sc1 Sc 0.000 0.000 0.000
```

Results
The calculation puts the density at 6.99 Mg/m³. The calculation puts the excess energy over the best structure of this formula in the dataset at 0.00 eV/f.u. Its energy of formation from the pure elements is 6 kJ per mole of atoms. As for the crystal system: hexagonal.

---

No. 3
Density functional theory data (PBE) for a relaxed structure of CaLaZr2.

The structure in CIF format:
```
data_CaLaZr2
_space_group_name_H-M_alt 'P 1'
_space_group_IT_number 1
_cell_length_a 5.720
_cell_length_b 5.720
_cell_length_c 3.474
_cell_angle_alpha 90.00
_cell_angle_beta 90.00
_cell_angle_gamma 90.00
loop_
_space_group_symop_operation_xyz
'x,y,z'
loop_
_atom_site_label
_atom_site_type_symbol
_atom_site_fract_x
_atom_site_fract_y
_atom_site_fract_z
Ca1 Ca 0.500 0.000 0.500
Zr1 Zr 0.000 0.000 0.000
Zr2 Zr 0.500 0.500 0.000
La1 La 0.000 0.500 0.500
```

Results
The calculation puts the density at 5.28 Mg/m³. The calculation puts the excess energy over the best structure of this formula in the dataset at 1.13 eV/f.u. Its energy of formation from the pure elements is 43 kJ per mole of atoms. As for the crystal system: tetragonal.

---

No. 4
Density functional theory data (PBE) for a relaxed structure of HfMg2Cd6.

The structure in CIF format:
```
data_HfMg2Cd6
_space_group_name_H-M_alt 'P 1'
_space_group_IT_number 1
_cell_length_a 3.063
_cell_length_b 8.595
_cell_length_c 8.597
_cell_angle_alpha 119.99
_cell_angle_beta 89.89
_cell_angle_gamma 90.00
loop_
_space_group_symop_operation_xyz
'x,y,z'
loop_
_atom_site_label
_atom_site_type_symbol
_atom_site_fract_x
_atom_site_fract_y
_atom_site_fract_z
Hf1 Hf 0.000 0.000 0.000
Mg1 Mg 0.000 0.667 0.333
Mg2 Mg 0.000 0.333 0.667
Cd1 Cd 0.505 0.667 0.667
Cd2 Cd 0.495 0.333 0.333
Cd3 Cd 0.495 0.000 0.333
Cd4 Cd 0.500 0.333 0.000
Cd5 Cd 0.500 0.667 0.000
Cd6 Cd 0.505 0.000 0.667
```

Results
The calculation puts the density at 7.64 Mg/m³. Its energy of formation from the pure elements is -3 kJ per mole of atoms. As for the crystal system: monoclinic.

---

No. 5
Density functional theory data (PBE) for a relaxed structure of Mo3RuAu.

The structure in CIF format:
```
data_Mo3RuAu
_space_group_name_H-M_alt 'P 1'
_space_group_IT_number 1
_cell_length_a 4.662
_cell_length_b 4.662
_cell_length_c 4.662
_cell_angle_alpha 90.00
_cell_angle_beta 90.00
_cell_angle_gamma 90.00
loop_
_space_group_symop_operation_xyz
'x,y,z'
loop_
_atom_site_label
_atom_site_type_symbol
_atom_site_fract_x
_atom_site_fract_y
_atom_site_fract_z
Ru1 Ru 0.000 0.000 0.000
Mo1 Mo 0.000 0.500 0.000
Mo2 Mo 0.000 0.000 0.500
Mo3 Mo 0.500 0.000 0.000
Au1 Au 0.500 0.500 0.500
```

Results
The calculation puts the density at 9.60 Mg/m³. The calculation puts the excess energy over the best structure of this formula in the dataset at 0.00 eV/f.u. Its energy of formation from the pure elements is 147 kJ per mole of atoms. As for the crystal system: cubic.

---

No. 6
Density functional theory data (PBE) for a relaxed structure of PmDy2SnC.

The structure in CIF format:
```
data_PmDy2SnC
_space_group_name_H-M_alt 'P 1'
_space_group_IT_number 1
_cell_length_a 5.052
_cell_length_b 4.902
_cell_length_c 4.902
_cell_angle_alpha 90.00
_cell_angle_beta 90.00
_cell_angle_gamma 90.00
loop_
_space_group_symop_operation_xyz
'x,y,z'
loop_
_atom_site_label
_atom_site_type_symbol
_atom_site_fract_x
_atom_site_fract_y
_atom_site_fract_z
Pm1 Pm 0.500 0.000 0.000
Dy1 Dy 0.000 0.000 0.500
Dy2 Dy 0.000 0.500 0.000
Sn1 Sn 0.500 0.500 0.500
C1 C 0.000 0.000 0.000
```

Results
The calculation puts the density at 8.22 Mg/m³. Its energy of formation from the pure elements is -56 kJ per mole of atoms. As for the crystal system: tetragonal.